# 1
BeZnIN2: optimized geometry, GGA-PBE.

Cell: 3.636 3.636 6.441 Å, 90.00 90.00 90.00°
Each line ends with the local moment (μB).
Sites, in units of the cell vectors:
I1 0.000 0.000 0.500  0.01
Be1 0.000 0.000 0.000  -0.02
Zn1 0.500 0.500 0.500  0.00
N1 0.000 0.500 0.000  0.53
N2 0.500 0.000 0.000  0.53

Output
Total moment = 1.5 μB/cell
Distance to the lowest polymorph of the same formula = 0.000 eV per atom

# 2
BeZnI2N: optimized geometry, GGA-PBE.

Cell: 7.011 7.011 2.985 Å, 90.00 90.00 90.00°
Sites, in units of the cell vectors:
I1 0.000 0.500 0.000
I2 0.500 0.000 0.000
Be1 0.000 0.000 0.000
Zn1 0.500 0.500 0.500
N1 0.000 0.000 0.500

Output
Total moment = 0.0 μB/cell
Distance to the lowest polymorph of the same formula = 0.000 eV per atom

# 3
ZrBeIN2: optimized geometry, GGA-PBE.

Cell: 4.114 4.114 6.215 Å, 90.00 90.00 90.00°
Each line ends with the local moment (μB).
Sites, in units of the cell vectors:
I1 0.000 0.000 0.500  0.00
Be1 0.500 0.500 0.500  0.00
Zr1 0.000 0.000 0.000  -0.04
N1 0.000 0.500 0.000  0.16
N2 0.500 0.000 0.000  0.16

Output
Total moment = 0.4 μB/cell
Distance to the lowest polymorph of the same formula = 0.000 eV per atom

# 4
ZrBeI2N: optimized geometry, GGA-PBE.

Cell: 5.952 5.952 4.018 Å, 90.00 90.00 90.00°
Each line ends with the local moment (μB).
Sites, in units of the cell vectors:
I1 0.000 0.500 0.000  0.05
I2 0.500 0.000 0.000  0.05
Be1 0.500 0.500 0.500  0.18
Zr1 0.000 0.000 0.000  0.03
N1 0.000 0.000 0.500  0.04

Output
Total moment = 0.7 μB/cell
Distance to the lowest polymorph of the same formula = 0.000 eV per atom